# 1
{
  "formula": "TeSe2S",
  "functional": "PBE",
  "state": "optimized geometry",
  "sg": "Cm",
  "lattice": [[10.8488, 0.0000, 0.0000], [0.0000, 3.4312, 0.0000], [-0.5223, 0.0000, 6.4927]],
  "species": ["Te", "Te", "Se", "Se", "Se", "Se", "S", "S"],
  "fractional_positions": [[0.0000, 0.0000, 0.0000], [0.5000, 0.5000, 0.0000], [0.1051, 0.0000, 0.4295], [0.4207, 0.5000, 0.5685], [0.6051, 0.5000, 0.4295], [0.9207, 0.0000, 0.5685], [0.3017, 0.5000, 0.0908], [0.8017, 0.0000, 0.0908]]
}


# 2
{
  "formula": "Te2Se3S",
  "functional": "PBE",
  "state": "optimized geometry",
  "sg": "C2/m",
  "lattice": [[8.9485, -1.9717, 0.0000], [8.9485, 1.9717, 0.0000], [-8.8586, 0.0000, 10.4062]],
  "species": ["Te", "Te", "Te", "Te", "Se", "Se", "Se", "Se", "Se", "Se", "S", "S"],
  "fractional_positions": [[0.2436, 0.2436, 0.1220], [0.2525, 0.2525, 0.6283], [0.7475, 0.7475, 0.3717], [0.7564, 0.7564, 0.8780], [0.1213, 0.1213, 0.1824], [0.3721, 0.3721, 0.5572], [0.3746, 0.3746, 0.0661], [0.6254, 0.6254, 0.9339], [0.6279, 0.6279, 0.4428], [0.8787, 0.8787, 0.8176], [0.1463, 0.1463, 0.7010], [0.8537, 0.8537, 0.2990]]
}


Calculated DOS at the Fermi energy, 1.632 0.096 states/eV/cell (same order as the records).
Calculated total magnetization, 0.000 0.000 μB per atom (same order as the records).
Calculated uncorrected formation energy, 0.134 0.014 eV/atom (same order as the records).